No. 1
The following is a DFT calculation (PBE-GGA) of a geometry-optimized RbUGa2Cl8 structure.

a b c (Å): 6.988 7.119 9.323
angles (deg): 89.72 89.78 89.65
Positions (direct):
Rb 0.000 0.000 0.000
U 0.000 0.000 0.500
Ga 0.500 0.500 0.210
Ga 0.500 0.500 0.790
Cl 0.143 0.210 0.304
Cl 0.144 0.209 0.694
Cl 0.296 0.799 0.499
Cl 0.365 0.708 0.000
Cl 0.635 0.292 0.000
Cl 0.704 0.201 0.501
Cl 0.856 0.791 0.306
Cl 0.857 0.790 0.696

Calculated values
Uncorrected energy in eV per atom: -4.1600
Spin magnetization in μB/f.u.: 1.0
E_form (uncorrected) in eV/atom: -1.403
Space group: P-1

=====

No. 2
The following is a DFT calculation (PBE-GGA) of a geometry-optimized ReNi2Pt structure.

a b c (Å): 4.556 4.556 2.661
angles (deg): 90.00 90.00 108.14
Positions (direct):
Re 0.000 0.000 0.000
Ni 0.000 0.500 0.500
Ni 0.500 0.000 0.500
Pt 0.500 0.500 0.000

Calculated values
Uncorrected energy in eV per atom: -7.4624
DFT formation energy in eV/atom: 0.051
Energy above the most stable polymorph in this dataset in eV per atom: 0.133
Spin magnetization in μB/f.u.: 0.0
Space group: Cmmm

=====

No. 3
The following is a DFT calculation (PBE-GGA) of a geometry-optimized Fe2Co structure.

a b c (Å): 3.938 3.938 2.687
angles (deg): 90.00 90.00 90.00
Positions (direct):
Fe 0.000 0.500 0.000
Fe 0.500 0.000 0.000
Co 0.000 0.000 0.500

Calculated values
Uncorrected energy in eV per atom: -7.5501
DFT formation energy in eV/atom: 0.460
Spin magnetization in μB/f.u.: 7.3
Space group: P4/mmm